Record 1
# LaHoIr2 (PBE-GGA, optimized geometry)
# Energy above the most stable polymorph in this dataset ... 14.8 meV/atom
# Total magnetization ... 0.00 μB/atom
# Crystal system ... cubic
# ΔH_f (0 K) ... -0.664 eV/atom
# Energy ... -7.471 eV per atom
data_LaHoIr2
_symmetry_space_group_name_H-M 'F m -3 m'
_symmetry_Int_Tables_number 225
_symmetry_space_group_name_Hall '-F 4 2 3'
_cell_length_a 7.0144
_cell_length_b 7.0144
_cell_length_c 7.0144
_cell_angle_alpha 90.00
_cell_angle_beta 90.00
_cell_angle_gamma 90.00
loop_
_atom_site_label
_atom_site_type_symbol
_atom_site_fract_x
_atom_site_fract_y
_atom_site_fract_z
La1 La 0.0000 0.0000 0.0000
Ho1 Ho 0.0000 0.0000 0.5000
Ir1 Ir 0.2500 0.2500 0.2500

Record 2
# GdCo2Ni2B (PBE-GGA, optimized geometry)
# Total magnetization ... 0.95 μB/atom
# Crystal system ... orthorhombic
# ΔH_f (0 K) ... -0.367 eV/atom
# Energy ... -8.122 eV per atom
data_GdCo2Ni2B
_symmetry_space_group_name_H-M 'C m m 2'
_symmetry_Int_Tables_number 35
_cell_length_a 4.9944
_cell_length_b 8.6654
_cell_length_c 6.9214
_cell_angle_alpha 90.00
_cell_angle_beta 90.00
_cell_angle_gamma 90.00
loop_
_symmetry_equiv_pos_as_xyz
'x,y,z'
'-x,-y,z'
'-x,y,z'
'x,-y,z'
'x+1/2,y+1/2,z'
'-x+1/2,-y+1/2,z'
'-x+1/2,y+1/2,z'
'x+1/2,-y+1/2,z'
loop_
_atom_site_label
_atom_site_type_symbol
_atom_site_fract_x
_atom_site_fract_y
_atom_site_fract_z
Gd1 Gd 0.0000 0.0000 0.0000
Gd2 Gd 0.0000 0.0000 0.4964
Co1 Co 0.0000 0.5000 0.2896
Co2 Co 0.0000 0.5000 0.7020
Co3 Co 0.2500 0.2500 0.2848
Ni1 Ni 0.0000 0.3383 0.9979
Ni2 Ni 0.2500 0.2500 0.7073
B1 B 0.0000 0.3338 0.4954